1.
This record from the Alexandria database describes a geometry-optimized LiAl2AuS4 structure. The functional is PBE-GGA.

The value obtained for the formation energy from raw total energies is -0.925 eV/atom. As for the calculated volume: 328.95 Å³ per cell. The calculated total energy comes out at -73.2 eV/cell.

It has space group I-42m (No. 121), with a = 5.284 Å, b = 5.284 Å, c = 11.780 Å, α = 90.00°, β = 90.00° and γ = 90.00°. Symmetry generates all atoms from Li at (0.000, 0.000, 0.000), Al at (0.000, 0.500, 0.250), Au at (0.000, 0.000, 0.500) and S at (0.241, 0.241, 0.138).

---

2.
This record from the Alexandria database describes a geometry-optimized Ac3LaTb4 structure. The functional is PBE-GGA.

As for the calculated volume: 595.78 Å³ per cell. The calculated total energy comes out at -70.9 eV/cell. Its formation energy is 0.039 eV per atom.

It has space group Pmma (No. 51), with a = 12.124 Å, b = 7.645 Å, c = 6.428 Å, α = 90.00°, β = 90.00° and γ = 90.00°. Symmetry generates all atoms from Ac at (0.000, 0.000, 0.000), Ac at (0.250, 0.000, 0.356), Ac at (0.250, 0.500, 0.348), La at (0.000, 0.500, 0.000), Tb at (0.000, 0.255, 0.500) and Tb at (0.250, 0.254, 0.849).

---

3.
This record from the Alexandria database describes a geometry-optimized SrLiAcI6 structure. The functional is PBE-GGA.

The value obtained for the formation energy from raw total energies is -1.484 eV/atom. As for the calculated volume: 833.30 Å³ per cell. The calculated total energy comes out at -60.7 eV/cell.

It has space group P4_2nm (No. 102), with a = 7.620 Å, b = 7.620 Å, c = 14.351 Å, α = 90.00°, β = 90.00° and γ = 90.00°. Symmetry generates all atoms from Sr at (0.000, 0.000, 0.000), Li at (0.000, 0.000, 0.666), Ac at (0.000, 0.000, 0.336), I at (0.192, 0.192, 0.513), I at (0.195, 0.195, 0.823) and I at (0.207, 0.207, 0.169).

---

4.
This record from the Alexandria database describes a geometry-optimized Tb13Ho2 structure. The functional is PBE-GGA.

The value obtained for the energy relative to the lowest polymorph listed for this composition is 0.091 eV per atom. As for the calculated volume: 1464.00 Å³ per cell. The calculated total energy comes out at -200.9 eV/cell. Its formation energy is 0.159 eV per atom.

It has space group R-3m (No. 166, hexagonal axes), with a = 7.0044 Å, b = 7.0044 Å, c = 34.4566 Å, α = 90.00°, β = 90.00° and γ = 120.00°. Symmetry generates all atoms from Tb at (0.0000, 0.0000, 0.0000), Tb at (0.0000, 0.5000, 0.2089), Tb at (0.0025, 0.5013, 0.9549) and Ho at (0.0000, 0.0000, 0.2064).

---

5.
This record from the Alexandria database describes a geometry-optimized CdSbTeN2 structure. The functional is PBE-GGA.

The value obtained for the energy relative to the lowest polymorph listed for this composition is 0.540 eV per atom. The value obtained for the formation energy from raw total energies is 1.625 eV/atom. As for the calculated volume: 120.89 Å³ per cell. The calculated total energy comes out at -16.7 eV/cell.

It has space group P4/mmm (No. 123), with a = 4.430 Å, b = 4.430 Å, c = 6.161 Å, α = 90.00°, β = 90.00° and γ = 90.00°. Symmetry generates all atoms from Cd at (0.000, 0.000, 0.000), Sb at (0.500, 0.500, 0.500), Te at (0.000, 0.000, 0.500) and N at (0.000, 0.500, 0.000).

---

6.
This record from the Alexandria database describes a geometry-optimized PrDy3HoTh structure. The functional is PBE-GGA.

As for the calculated volume: 388.60 Å³ per cell. The calculated total energy comes out at -60.8 eV/cell. Its formation energy is 0.028 eV per atom.

It has space group P2_1/m (No. 11), with a = 7.990 Å, b = 5.070 Å, c = 10.136 Å, α = 90.00°, β = 108.84° and γ = 90.00°. Symmetry generates all atoms from Pr at (0.168, 0.250, 0.292), Dy at (0.170, 0.750, 0.544), Dy at (0.175, 0.750, 0.043), Dy at (0.177, 0.250, 0.794), Ho at (0.499, 0.250, 0.628) and Th at (0.498, 0.750, 0.879).

---

Question: Which value of calculated volume does entry 2 give?
Answer: 595.78 Å³ per cell